Record 1
## NaIn4Hg4 (GGA-PBE)

Data for crystalline NaIn4Hg4 at its relaxed geometry.

a b c (Å): 10.1448 10.1448 4.5287
angles (deg): 90.00 90.00 90.00
With the nearest neighbours (Å) after each atom.
Space group I4/mmm (No. 139)
Inequivalent atoms, fractional coordinates:
Na 0.0000 0.0000 0.0000 (multiplicity 2)  8 Hg 3.27, 4 In 3.35
In 0.0000 0.3300 0.0000 (multiplicity 8)  6 Hg 3.28-3.40, 5 In 3.33-3.45, 1 Na 3.35
Hg 0.1648 0.1648 0.5000 (multiplicity 8)  2 Na 3.27, 6 In 3.28-3.40, 4 Hg 3.33-3.34

Computed properties:
Formation energy from the elements   -0.061 eV/atom
Energy relative to the lowest polymorph listed for this composition   0.000 eV per atom

Record 2
## Nb3TeS (GGA-PBE)

Data for crystalline Nb3TeS at its relaxed geometry.

a b c (Å): 12.0831 9.7857 6.6901
angles (deg): 90.00 105.31 90.00
With the nearest neighbours (Å) after each atom.
Space group C2/c (No. 15)
Inequivalent atoms, fractional coordinates:
Nb 0.1577 0.1640 0.1075 (multiplicity 8)  2 S 2.49-2.50
Nb 0.1639 0.1525 0.5489 (multiplicity 8)  1 S 2.53, 1 Nb 2.74
Nb 0.1702 0.4934 0.5689 (multiplicity 8)  2 S 2.45-2.46, 1 Nb 2.74
Te 0.0000 0.0144 0.7500 (multiplicity 4)  8 Nb 2.91-3.01
Te 0.0000 0.3445 0.2500 (multiplicity 4)  8 Nb 2.93-3.09
S 0.1284 0.3237 0.8082 (multiplicity 8)  5 Nb 2.45-2.53

Computed properties:
Formation energy without anion corrections   -339.5 meV per atom
Energy relative to the lowest polymorph listed for this composition   0.148 eV per atom

Record 3
## RbI3Cl9 (GGA-PBE)

Data for crystalline RbI3Cl9 at its relaxed geometry.

a b c (Å): 19.9398 10.4718 14.6623
angles (deg): 90.00 130.17 90.00
With the nearest neighbours (Å) after each atom.
Space group Cc (No. 9)
Inequivalent atoms, fractional coordinates:
Rb 0.0000 0.0343 0.0000 (multiplicity 4)  5 Cl 3.30-3.48
I 0.1319 0.3378 0.6292 (multiplicity 4)  4 Cl 2.47-2.71
I 0.2793 0.2337 0.4469 (multiplicity 4)  4 Cl 2.50-2.67
I 0.4534 0.1555 0.2811 (multiplicity 4)  3 Cl 2.44-2.64
Cl 0.0449 0.3080 0.7110 (multiplicity 4)  2 I 2.64-2.69
Cl 0.0915 0.2956 0.9924 (multiplicity 4)  1 I 2.54
Cl 0.1623 0.0775 0.3014 (multiplicity 4)  1 I 2.50
Cl 0.2212 0.2425 0.5631 (multiplicity 4)  2 I 2.61-2.71
Cl 0.2682 0.4038 0.8272 (multiplicity 4)  1 I 2.47
Cl 0.3182 0.1176 0.0769 (multiplicity 4)  1 I 2.44
Cl 0.3623 0.2012 0.3613 (multiplicity 4)  2 I 2.67-2.77
Cl 0.3989 0.3832 0.6011 (multiplicity 4)  1 I 2.51
Cl 0.4940 0.2306 0.9282 (multiplicity 4)  1 I 2.51

Computed properties:
Formation energy without anion corrections   -421.7 meV per atom

Record 4
## DyPu2Tc (GGA-PBE)

Data for crystalline DyPu2Tc at its relaxed geometry.

a b c (Å): 4.7594 4.7594 14.3429
angles (deg): 90.00 90.00 120.00
With the nearest neighbours (Å) after each atom.
Space group R-3m (No. 166, hexagonal axes)
Inequivalent atoms, fractional coordinates:
Dy 0.0000 0.0000 0.0000 (multiplicity 3)  8 Pu 3.12-3.29
Pu 0.0000 0.0000 0.2296 (multiplicity 6)  3 Tc 2.89, 3 Dy 3.12
Tc 0.0000 0.0000 0.5000 (multiplicity 3)  6 Pu 2.89

Computed properties:
Formation energy from the elements   0.243 eV/atom
Energy relative to the lowest polymorph listed for this composition   0.150 eV per atom

Record 5
## Tm3ScO6 (GGA-PBE)

Data for crystalline Tm3ScO6 at its relaxed geometry.

a b c (Å): 9.3600 9.3600 10.8974
angles (deg): 90.00 90.00 120.00
With the nearest neighbours (Å) after each atom.
Space group R-3 (No. 148, hexagonal axes)
Inequivalent atoms, fractional coordinates:
Tm 0.0414 0.2669 0.2062 (multiplicity 18)  6 O 2.19-2.31
Sc 0.0000 0.0000 0.0000 (multiplicity 3)  6 O 2.11
Sc 0.0000 0.0000 0.5000 (multiplicity 3)  6 O 2.15
O 0.0267 0.2117 0.4028 (multiplicity 18)  1 Sc 2.15, 3 Tm 2.19-2.31
O 0.0280 0.1864 0.8772 (multiplicity 18)  1 Sc 2.11, 3 Tm 2.23-2.27

Computed properties:
Formation energy without anion corrections   -3645.2 meV per atom

Record 6
## Re3SnS (GGA-PBE)

Data for crystalline Re3SnS at its relaxed geometry.

a b c (Å): 4.4136 4.4136 4.4136
angles (deg): 90.00 90.00 90.00
With the nearest neighbours (Å) after each atom.
Space group Pm-3m (No. 221)
Inequivalent atoms, fractional coordinates:
Re 0.0000 0.0000 0.5000 (multiplicity 3)  2 S 2.21
Sn 0.5000 0.5000 0.5000 (multiplicity 1)  12 Re 3.12
S 0.0000 0.0000 0.0000 (multiplicity 1)  6 Re 2.21

Computed properties:
Formation energy without anion corrections   1022.8 meV per atom
Energy relative to the lowest polymorph listed for this composition   0.000 eV per atom

Record 7
## LaNd2Dy5Y (GGA-PBE)

Data for crystalline LaNd2Dy5Y at its relaxed geometry.

a b c (Å): 8.7820 8.7820 15.6092
angles (deg): 90.00 90.00 90.00
With the nearest neighbours (Å) after each atom.
Space group I4/mcm (No. 140)
Inequivalent atoms, fractional coordinates:
La 0.0000 0.0000 0.2500 (multiplicity 4)  10 Dy 3.61-3.90
Nd 0.1171 0.3829 0.0000 (multiplicity 8)  1 Nd 2.91, 2 Dy 3.03
Dy 0.0000 0.0000 0.0000 (multiplicity 4)  4 Nd 3.52, 8 Dy 3.80, 2 La 3.90
Dy 0.2099 0.2901 0.3634 (multiplicity 16)  1 Nd 3.03, 1 Y 3.15
Y 0.0000 0.5000 0.2500 (multiplicity 4)  4 Dy 3.15

Computed properties:
Formation energy from the elements   0.257 eV/atom

Record 8
## AlRhBr3 (GGA-PBE)

Data for crystalline AlRhBr3 at its relaxed geometry.

a b c (Å): 5.1154 5.1154 5.1154
angles (deg): 90.00 90.00 90.00
With the nearest neighbours (Å) after each atom.
Space group Pm-3m (No. 221)
Inequivalent atoms, fractional coordinates:
Al 0.0000 0.0000 0.0000 (multiplicity 1)  12 Br 3.62
Rh 0.5000 0.5000 0.5000 (multiplicity 1)  6 Br 2.56
Br 0.0000 0.5000 0.5000 (multiplicity 3)  2 Rh 2.56

Computed properties:
Formation energy without anion corrections   -34.7 meV per atom
Energy relative to the lowest polymorph listed for this composition   0.000 eV per atom

Record 9
## Nd2Pu (GGA-PBE)

Data for crystalline Nd2Pu at its relaxed geometry.

a b c (Å): 3.5800 3.5800 15.2877
angles (deg): 90.00 90.00 90.00
With the nearest neighbours (Å) after each atom.
Space group I4/mmm (No. 139)
Inequivalent atoms, fractional coordinates:
Nd 0.0000 0.0000 0.1627 (multiplicity 4)  4 Pu 3.55, 8 Nd 3.58-3.68
Pu 0.0000 0.0000 0.5000 (multiplicity 2)  8 Nd 3.55, 4 Pu 3.58

Computed properties:
Formation energy from the elements   0.133 eV/atom

Record 10
## FeRhWBr2 (GGA-PBE)

Data for crystalline FeRhWBr2 at its relaxed geometry.

a b c (Å): 4.5474 4.5474 4.7013
angles (deg): 90.00 90.00 90.00
With the nearest neighbours (Å) after each atom.
Space group P4/mmm (No. 123)
Inequivalent atoms, fractional coordinates:
Fe 0.0000 0.0000 0.0000 (multiplicity 1)  4 Br 2.27, 2 W 2.35
Rh 0.5000 0.5000 0.5000 (multiplicity 1)  4 W 3.22, 8 Br 3.27
W 0.0000 0.0000 0.5000 (multiplicity 1)  2 Fe 2.35
Br 0.0000 0.5000 0.0000 (multiplicity 2)  2 Fe 2.27

Computed properties:
Formation energy without anion corrections   1514.9 meV per atom

Record 11
## RePPb (GGA-PBE)

Data for crystalline RePPb at its relaxed geometry.

a b c (Å): 7.7012 3.1605 10.8648
angles (deg): 90.00 90.25 90.00
With the nearest neighbours (Å) after each atom.
Space group C2/m (No. 12)
Inequivalent atoms, fractional coordinates:
Re 0.1557 0.0000 0.0832 (multiplicity 4)  4 P 2.32-2.44
P 0.1395 0.0000 0.8589 (multiplicity 4)  4 Re 2.32-2.44
Pb 0.1363 0.0000 0.3660 (multiplicity 4)  1 Re 3.08, 2 Pb 3.16, 3 P 3.23-3.39

Computed properties:
Formation energy from the elements   -0.001 eV/atom
Energy relative to the lowest polymorph listed for this composition   0.000 eV per atom

Record 12
## In2SnI8 (GGA-PBE)

Data for crystalline In2SnI8 at its relaxed geometry.

a b c (Å): 14.1269 11.3971 7.3798
angles (deg): 90.00 97.42 90.00
With the nearest neighbours (Å) after each atom.
Space group C2/m (No. 12)
Inequivalent atoms, fractional coordinates:
In 0.2029 0.0000 0.1560 (multiplicity 4)  4 I 2.71-2.80
Sn 0.0000 0.0000 0.5000 (multiplicity 2)  6 I 3.22-3.25
I 0.1004 0.1914 0.2671 (multiplicity 8)  1 In 2.80
I 0.1110 0.5000 0.6989 (multiplicity 4)  1 In 2.71
I 0.1983 0.0000 0.7769 (multiplicity 4)  1 In 2.79

Computed properties:
Formation energy without anion corrections   -497.0 meV per atom
Energy relative to the lowest polymorph listed for this composition   0.003 eV per atom

Record 13
## SrCa5 (GGA-PBE)

Data for crystalline SrCa5 at its relaxed geometry.

a b c (Å): 4.5151 4.5151 12.8747
angles (deg): 90.00 90.00 90.00
With the nearest neighbours (Å) after each atom.
Space group P4/mmm (No. 123)
Inequivalent atoms, fractional coordinates:
Sr 0.0000 0.0000 0.0000 (multiplicity 1)  10 Ca 3.95-4.38
Ca 0.0000 0.0000 0.3399 (multiplicity 2)  9 Ca 3.79-4.12
Ca 0.5000 0.5000 0.1808 (multiplicity 2)  5 Ca 3.79-4.11, 4 Sr 3.95
Ca 0.5000 0.5000 0.5000 (multiplicity 1)  10 Ca 3.80-4.11

Computed properties:
Formation energy from the elements   0.020 eV/atom
Energy relative to the lowest polymorph listed for this composition   0.009 eV per atom

Record 14
## Re2PBr (GGA-PBE)

Data for crystalline Re2PBr at its relaxed geometry.

a b c (Å): 2.8947 4.1237 5.4641
angles (deg): 90.00 90.00 90.00
With the nearest neighbours (Å) after each atom.
Space group Pmmm (No. 47)
Inequivalent atoms, fractional coordinates:
Re 0.0000 0.0000 0.0000 (multiplicity 1)  4 Br 2.52
Re 0.5000 0.0000 0.5000 (multiplicity 1)  4 P 2.52
P 0.0000 0.5000 0.5000 (multiplicity 1)  4 Re 2.52
Br 0.5000 0.5000 0.0000 (multiplicity 1)  4 Re 2.52

Computed properties:
Formation energy without anion corrections   1208.0 meV per atom
Energy relative to the lowest polymorph listed for this composition   0.910 eV per atom

Record 15
## DyGeH (GGA-PBE)

Data for crystalline DyGeH at its relaxed geometry.

a b c (Å): 7.4505 7.4505 3.7525
angles (deg): 90.00 90.00 90.00
With the nearest neighbours (Å) after each atom.
Space group P4_2/m (No. 84)
Inequivalent atoms, fractional coordinates:
Dy 0.0791 0.7252 0.0000 (multiplicity 4)  3 H 2.14-2.26
Ge 0.3099 0.4126 0.0000 (multiplicity 4)  4 Dy 2.90-3.12, 5 Ge 2.90-3.12, 1 H 3.16
H 0.0200 0.8511 0.5000 (multiplicity 4)  3 Dy 2.14-2.26, 1 H 2.24

Computed properties:
Energy relative to the lowest polymorph listed for this composition   0.348 eV per atom

Record 16
## RbLi4La3I12 (GGA-PBE)

Data for crystalline RbLi4La3I12 at its relaxed geometry.

a b c (Å): 17.1376 17.1376 10.9841
angles (deg): 90.00 90.00 120.00
With the nearest neighbours (Å) after each atom.
Space group R32 (No. 155, hexagonal axes)
Inequivalent atoms, fractional coordinates:
Rb 0.0000 0.0000 0.0000 (multiplicity 3)  6 I 3.99
Li 0.0000 0.0000 0.5000 (multiplicity 3)  3 I 2.65
Li 0.0000 0.4126 0.5000 (multiplicity 9)  3 I 2.71-2.77
La 0.0000 0.5793 0.0000 (multiplicity 9)  6 I 3.22-3.24
I 0.0000 0.5740 0.5000 (multiplicity 9)  1 Li 2.77
I 0.0000 0.8455 0.5000 (multiplicity 9)  1 Li 2.65
I 0.0654 0.2303 0.1706 (multiplicity 18)  1 Li 2.71

Computed properties:
Formation energy without anion corrections   -1265.1 meV per atom

Record 17
## Sm3Np2S8 (GGA-PBE)

Data for crystalline Sm3Np2S8 at its relaxed geometry.

a b c (Å): 9.6736 13.4895 4.6649
angles (deg): 90.00 90.00 90.00
With the nearest neighbours (Å) after each atom.
Space group Cmmm (No. 65)
Inequivalent atoms, fractional coordinates:
Sm 0.0000 0.0000 0.0000 (multiplicity 2)  8 S 2.86-2.90
Sm 0.2156 0.5000 0.5000 (multiplicity 4)  6 S 2.74-2.92
Np 0.0000 0.2617 0.0000 (multiplicity 4)  8 S 2.74-2.99
S 0.0000 0.1229 0.5000 (multiplicity 4)  2 Sm 2.86, 2 Np 2.99
S 0.0000 0.3688 0.5000 (multiplicity 4)  2 Sm 2.74, 2 Np 2.74
S 0.2423 0.1265 0.0000 (multiplicity 8)  3 Sm 2.90-2.92, 2 Np 2.91-2.97

Computed properties:
Formation energy without anion corrections   -1582.8 meV per atom

Record 18
## AlCuOs2 (GGA-PBE)

Data for crystalline AlCuOs2 at its relaxed geometry.

a b c (Å): 3.8934 3.8934 7.2532
angles (deg): 90.00 90.00 90.00
With the nearest neighbours (Å) after each atom.
Space group I-4m2 (No. 119)
Inequivalent atoms, fractional coordinates:
Al 0.0000 0.0000 0.0000 (multiplicity 2)  8 Os 2.66-2.75, 4 Cu 2.66
Cu 0.0000 0.5000 0.7500 (multiplicity 2)  8 Os 2.66-2.75, 4 Al 2.66
Os 0.0000 0.0000 0.5000 (multiplicity 2)  4 Cu 2.66, 4 Os 2.66, 4 Al 2.75
Os 0.0000 0.5000 0.2500 (multiplicity 2)  4 Al 2.66, 4 Os 2.66, 4 Cu 2.75

Computed properties:
Formation energy from the elements   0.063 eV/atom

Record 19
## CsTi3Cl (GGA-PBE)

Data for crystalline CsTi3Cl at its relaxed geometry.

a b c (Å): 5.1000 5.1000 5.1000
angles (deg): 90.00 90.00 90.00
With the nearest neighbours (Å) after each atom.
Space group Pm-3m (No. 221)
Inequivalent atoms, fractional coordinates:
Cs 0.0000 0.0000 0.0000 (multiplicity 1)  6 Ti 2.55
Ti 0.0000 0.0000 0.5000 (multiplicity 3)  2 Cs 2.55
Cl 0.5000 0.5000 0.5000 (multiplicity 1)  12 Ti 3.61

Computed properties:
Formation energy without anion corrections   2092.5 meV per atom
Energy relative to the lowest polymorph listed for this composition   1.249 eV per atom

Record 20
## CsSbRh (GGA-PBE)

Data for crystalline CsSbRh at its relaxed geometry.

a b c (Å): 4.2868 4.2868 12.3567
angles (deg): 90.00 90.00 90.00
With the nearest neighbours (Å) after each atom.
Space group P4/nmm (No. 129, origin choice 2)
Inequivalent atoms, fractional coordinates:
Cs 0.2500 0.2500 0.1992 (multiplicity 2)  4 Sb 3.76
Sb 0.2500 0.2500 0.6214 (multiplicity 2)  4 Rh 2.62
Rh 0.2500 0.7500 0.5000 (multiplicity 2)  4 Sb 2.62

Computed properties:
Formation energy without anion corrections   -429.1 meV per atom